VASP calculation (PBE) on a geometry-optimized RbBaMnBr5 structure.

Unit cell a=8.395 b=8.395 c=11.258 alpha=102.99 beta=102.99 gamma=106.86
Last column: magnetic moment on the atom in μB.
Sites, in units of the cell vectors:
Rb1 0.352 0.648 0.250  0.00
Rb2 0.648 0.352 0.750  0.00
Ba1 0.000 0.000 0.500  0.01
Ba2 0.000 0.000 0.000  0.01
Mn1 0.681 0.319 0.250  4.35
Mn2 0.319 0.681 0.750  4.35
Br1 0.104 0.896 0.250  0.00
Br2 0.896 0.104 0.750  0.00
Br3 0.915 0.338 0.142  0.04
Br4 0.085 0.662 0.858  0.04
Br5 0.662 0.085 0.358  0.04
Br6 0.338 0.915 0.642  0.04
Br7 0.728 0.592 0.424  0.04
Br8 0.272 0.408 0.576  0.04
Br9 0.408 0.272 0.076  0.04
Br10 0.592 0.728 0.924  0.04

Computed properties:
density of states at the Fermi level	0.00	states/eV per cell
VASP energy	-0.301	Ry per atom

=====

VASP calculation (PBE) on a geometry-optimized Rb2BaMnBr6 structure.

Unit cell a=8.244 b=8.244 c=8.245 alpha=60.00 beta=60.00 gamma=90.00
Last column: magnetic moment on the atom in μB.
Sites, in units of the cell vectors:
Mn1 0.500 0.500 0.000  4.40
Br1 0.270 0.270 0.460  0.03
Br2 0.730 0.730 0.540  0.03
Br3 0.270 0.270 0.000  0.03
Br4 0.730 0.730 0.000  0.03
Br5 0.730 0.270 0.000  0.03
Br6 0.270 0.730 0.000  0.03
Ba1 0.000 0.000 0.000  0.02
Rb1 0.750 0.250 0.500  0.00
Rb2 0.250 0.750 0.500  0.00

Computed properties:
density of states at the Fermi level	0.00	states/eV per cell
VASP energy	-0.283	Ry per atom

=====

VASP calculation (PBE) on a geometry-optimized BaMn2ReBr structure.

Unit cell a=4.648 b=6.845 c=4.648 alpha=90.00 beta=90.00 gamma=90.00
Last column: magnetic moment on the atom in μB.
Sites, in units of the cell vectors:
Re1 0.000 0.000 0.000  -0.81
Mn1 0.000 0.000 0.500  2.92
Mn2 0.500 0.000 0.000  3.19
Ba1 0.000 0.500 0.000  -0.01
Br1 0.500 0.500 0.500  0.02

Computed properties:
density of states at the Fermi level	4.40	states/eV per cell
VASP energy	-0.466	Ry per atom

=====

VASP calculation (PBE) on a geometry-optimized BaMnSe2Br structure.

Unit cell a=5.036 b=5.036 c=5.346 alpha=90.00 beta=90.00 gamma=90.00
Last column: magnetic moment on the atom in μB.
Sites, in units of the cell vectors:
Mn1 0.000 0.000 0.000  3.86
Se1 0.000 0.500 0.000  0.01
Se2 0.500 0.000 0.000  0.01
Ba1 0.500 0.500 0.500  0.01
Br1 0.000 0.000 0.500  0.03

Computed properties:
density of states at the Fermi level	1.31	states/eV per cell
VASP energy	-0.373	Ry per atom

=====

VASP calculation (PBE) on a geometry-optimized BaMnSeBr2 structure.

Unit cell a=6.172 b=6.172 c=6.388 alpha=90.00 beta=90.00 gamma=90.00
Last column: magnetic moment on the atom in μB.
Sites, in units of the cell vectors:
Mn1 0.500 0.500 0.500  4.83
Se1 0.000 0.000 0.500  -0.43
Ba1 0.000 0.000 0.000  -0.01
Br1 0.000 0.500 0.000  0.01
Br2 0.500 0.000 0.000  0.01

Computed properties:
density of states at the Fermi level	6.61	states/eV per cell
VASP energy	-0.284	Ry per atom

=====

VASP calculation (PBE) on a geometry-optimized BaMnSe2Br structure.

Unit cell a=6.186 b=6.186 c=6.118 alpha=90.00 beta=90.00 gamma=90.00
Last column: magnetic moment on the atom in μB.
Sites, in units of the cell vectors:
Mn1 0.500 0.500 0.500  4.82
Se1 0.000 0.500 0.000  -0.42
Se2 0.500 0.000 0.000  -0.42
Ba1 0.000 0.000 0.000  -0.01
Br1 0.000 0.000 0.500  0.00

Computed properties:
density of states at the Fermi level	8.64	states/eV per cell
VASP energy	-0.278	Ry per atom

=====

VASP calculation (PBE) on a geometry-optimized BaMnSeBr2 structure.

Unit cell a=5.295 b=5.295 c=5.235 alpha=90.00 beta=90.00 gamma=90.00
Last column: magnetic moment on the atom in μB.
Sites, in units of the cell vectors:
Mn1 0.000 0.000 0.000  4.30
Se1 0.000 0.000 0.500  0.08
Ba1 0.500 0.500 0.500  0.01
Br1 0.000 0.500 0.000  0.06
Br2 0.500 0.000 0.000  0.06

Computed properties:
density of states at the Fermi level	0.44	states/eV per cell
VASP energy	-0.354	Ry per atom

=====

VASP calculation (PBE) on a geometry-optimized BaMnSn2Br8 structure.

Unit cell a=7.118 b=6.771 c=9.089 alpha=90.04 beta=89.37 gamma=88.35
Last column: magnetic moment on the atom in μB.
Sites, in units of the cell vectors:
Ba1 0.000 0.000 0.500  0.00
Mn1 0.000 0.000 0.000  4.39
Sn1 0.485 0.489 0.770  0.02
Sn2 0.515 0.511 0.230  0.02
Br1 0.169 0.785 0.207  0.03
Br2 0.683 0.757 0.018  0.02
Br3 0.859 0.242 0.212  0.03
Br4 0.831 0.215 0.793  0.03
Br5 0.317 0.243 0.982  0.02
Br6 0.141 0.758 0.788  0.03
Br7 0.639 0.726 0.481  0.01
Br8 0.361 0.274 0.519  0.01

Computed properties:
density of states at the Fermi level	0.00	states/eV per cell
VASP energy	-0.278	Ry per atom

=====

VASP calculation (PBE) on a geometry-optimized BaSr2MnBr8 structure.

Unit cell a=7.104 b=6.887 c=9.206 alpha=90.00 beta=90.00 gamma=89.32
Last column: magnetic moment on the atom in μB.
Sites, in units of the cell vectors:
Ba1 0.000 0.000 0.500  0.00
Sr1 0.500 0.500 0.766  0.01
Sr2 0.500 0.500 0.234  0.01
Mn1 0.000 0.000 0.000  4.43
Br1 0.156 0.779 0.211  0.03
Br2 0.686 0.751 0.000  0.03
Br3 0.844 0.221 0.211  0.03
Br4 0.844 0.221 0.789  0.03
Br5 0.314 0.249 0.000  0.03
Br6 0.156 0.779 0.789  0.03
Br7 0.640 0.726 0.500  0.00
Br8 0.360 0.274 0.500  0.00

Computed properties:
density of states at the Fermi level	0.00	states/eV per cell
VASP energy	-0.300	Ry per atom

=====

VASP calculation (PBE) on a geometry-optimized BaSrMn2Br8 structure.

Unit cell a=7.018 b=7.018 c=10.169 alpha=90.00 beta=90.00 gamma=120.00
Last column: magnetic moment on the atom in μB.
Sites, in units of the cell vectors:
Ba1 0.000 0.000 0.000  0.00
Sr1 0.000 0.000 0.500  0.01
Mn1 0.667 0.333 0.233  4.31
Mn2 0.333 0.667 0.767  4.31
Br1 0.333 0.667 0.008  0.07
Br2 0.312 0.316 0.292  0.05
Br3 0.684 0.997 0.292  0.05
Br4 0.667 0.333 0.992  0.07
Br5 0.316 0.003 0.708  0.05
Br6 0.688 0.684 0.708  0.05
Br7 0.997 0.312 0.708  0.05
Br8 0.003 0.688 0.292  0.05

Computed properties:
density of states at the Fermi level	0.00	states/eV per cell
VASP energy	-0.318	Ry per atom

=====

VASP calculation (PBE) on a geometry-optimized Ba2MnTlBr8 structure.

Unit cell a=7.422 b=6.826 c=9.569 alpha=89.85 beta=89.98 gamma=88.15
Last column: magnetic moment on the atom in μB.
Sites, in units of the cell vectors:
Ba1 0.500 0.498 0.764  0.01
Ba2 0.500 0.502 0.236  0.01
Mn1 0.000 0.000 0.000  3.70
Tl1 0.000 0.000 0.500  0.00
Br1 0.127 0.785 0.185  -0.02
Br2 0.679 0.768 0.998  0.04
Br3 0.870 0.213 0.185  -0.02
Br4 0.873 0.215 0.815  -0.02
Br5 0.321 0.232 0.002  0.04
Br6 0.130 0.787 0.815  -0.02
Br7 0.663 0.719 0.500  -0.01
Br8 0.337 0.281 0.500  -0.01

Computed properties:
VASP energy	-0.278	Ry per atom

=====

VASP calculation (PBE) on a geometry-optimized Ba2MnTlBr structure.

Unit cell a=6.702 b=5.969 c=6.702 alpha=90.00 beta=90.00 gamma=90.00
Last column: magnetic moment on the atom in μB.
Sites, in units of the cell vectors:
Tl1 0.000 0.000 0.000  0.02
Mn1 0.500 0.500 0.500  4.33
Ba1 0.000 0.000 0.500  0.00
Ba2 0.500 0.000 0.000  0.01
Br1 0.000 0.500 0.000  0.01

Computed properties:
density of states at the Fermi level	8.03	states/eV per cell
VASP energy	-0.228	Ry per atom

=====

VASP calculation (PBE) on a geometry-optimized BaMnTl2Br6 structure.

Unit cell a=7.748 b=8.194 c=11.281 alpha=90.00 beta=91.40 gamma=90.00
Last column: magnetic moment on the atom in μB.
Sites, in units of the cell vectors:
Ba1 0.500 0.000 0.000  0.02
Ba2 0.000 0.500 0.500  0.02
Mn1 0.500 0.000 0.500  4.41
Mn2 0.000 0.500 0.000  4.41
Tl1 0.030 0.919 0.242  0.00
Tl2 0.530 0.581 0.742  0.00
Tl3 0.970 0.081 0.758  0.00
Tl4 0.470 0.419 0.258  0.00
Br1 0.283 0.674 0.059  0.03
Br2 0.783 0.826 0.559  0.03
Br3 0.717 0.326 0.941  0.03
Br4 0.217 0.174 0.441  0.03
Br5 0.334 0.717 0.440  0.03
Br6 0.834 0.783 0.940  0.03
Br7 0.666 0.283 0.560  0.03
Br8 0.166 0.217 0.060  0.03
Br9 0.883 0.531 0.225  0.03
Br10 0.383 0.969 0.725  0.03
Br11 0.117 0.469 0.775  0.03
Br12 0.617 0.031 0.275  0.03

Computed properties:
density of states at the Fermi level	0.00	states/eV per cell
VASP energy	-0.279	Ry per atom

=====

VASP calculation (PBE) on a geometry-optimized BaMnZn2Br8 structure.

Unit cell a=6.636 b=6.636 c=10.157 alpha=70.93 beta=70.93 gamma=60.00
Last column: magnetic moment on the atom in μB.
Sites, in units of the cell vectors:
Ba1 0.500 0.500 0.500  0.01
Mn1 0.000 0.000 0.000  4.40
Zn1 0.256 0.256 0.233  0.01
Zn2 0.744 0.744 0.767  0.01
Br1 0.170 0.170 0.491  0.01
Br2 0.629 0.284 0.169  0.03
Br3 0.830 0.830 0.509  0.01
Br4 0.918 0.629 0.169  0.03
Br5 0.082 0.371 0.831  0.03
Br6 0.284 0.918 0.169  0.03
Br7 0.716 0.082 0.831  0.03
Br8 0.371 0.716 0.831  0.03

Computed properties:
density of states at the Fermi level	0.00	states/eV per cell
VASP energy	-0.247	Ry per atom

=====

VASP calculation (PBE) on a geometry-optimized BaMo2Br structure.

Unit cell a=6.213 b=6.213 c=6.213 alpha=148.02 beta=118.93 gamma=70.61
Last column: magnetic moment on the atom in μB.
Sites, in units of the cell vectors:
Mo1 0.978 0.978 0.000  -0.17
Mo2 0.819 0.319 0.500  0.26
Ba1 0.497 0.497 0.000  0.03
Br1 0.207 0.707 0.500  0.01

Computed properties:
density of states at the Fermi level	3.11	states/eV per cell
VASP energy	-0.422	Ry per atom

=====

VASP calculation (PBE) on a geometry-optimized BaMo2Br structure.

Unit cell a=4.876 b=4.876 c=4.876 alpha=60.00 beta=60.00 gamma=60.00
Sites, in units of the cell vectors:
Mo1 0.250 0.250 0.250
Mo2 0.750 0.750 0.750
Ba1 0.500 0.500 0.500
Br1 0.000 0.000 0.000

Computed properties:
density of states at the Fermi level	6.20	states/eV per cell
VASP energy	-0.345	Ry per atom

=====

VASP calculation (PBE) on a geometry-optimized BaMo2Br structure.

Unit cell a=6.130 b=6.130 c=3.033 alpha=90.00 beta=90.00 gamma=124.41
Sites, in units of the cell vectors:
Mo1 0.000 0.000 0.000
Mo2 0.500 0.500 0.000
Ba1 0.500 0.000 0.500
Br1 0.000 0.500 0.500

Computed properties:
density of states at the Fermi level	6.36	states/eV per cell
VASP energy	-0.367	Ry per atom

=====

VASP calculation (PBE) on a geometry-optimized Ba4MoBr structure.

Unit cell a=7.417 b=7.417 c=7.417 alpha=60.00 beta=60.00 gamma=60.00
Last column: magnetic moment on the atom in μB.
Sites, in units of the cell vectors:
Ba1 0.876 0.375 0.375  -0.14
Ba2 0.375 0.375 0.876  -0.14
Ba3 0.375 0.876 0.375  -0.14
Ba4 0.375 0.375 0.375  -0.14
Mo1 0.000 0.000 0.000  3.56
Br1 0.750 0.750 0.750  0.02

Computed properties:
density of states at the Fermi level	8.76	states/eV per cell
VASP energy	-0.191	Ry per atom

=====

VASP calculation (PBE) on a geometry-optimized BaMo3Br structure.

Unit cell a=4.848 b=4.848 c=4.848 alpha=90.00 beta=90.00 gamma=90.00
Last column: magnetic moment on the atom in μB.
Sites, in units of the cell vectors:
Mo1 0.000 0.500 0.000  0.37
Mo2 0.000 0.000 0.500  0.46
Mo3 0.500 0.000 0.000  0.26
Ba1 0.500 0.500 0.500  0.03
Br1 0.000 0.000 0.000  -0.01

Computed properties:
density of states at the Fermi level	8.23	states/eV per cell
VASP energy	-0.414	Ry per atom

=====

VASP calculation (PBE) on a geometry-optimized BaMoBr2 structure.

Unit cell a=4.727 b=4.465 c=6.746 alpha=70.63 beta=90.00 gamma=90.00
Last column: magnetic moment on the atom in μB.
Sites, in units of the cell vectors:
Mo1 0.000 0.306 0.513  3.12
Ba1 0.500 0.686 0.752  0.06
Br1 0.000 0.097 0.930  0.03
Br2 0.500 0.411 0.305  0.06

Computed properties:
density of states at the Fermi level	2.15	states/eV per cell
VASP energy	-0.314	Ry per atom

=====

VASP calculation (PBE) on a geometry-optimized Ba2MoBr structure.

Unit cell a=5.885 b=5.885 c=5.885 alpha=60.00 beta=60.00 gamma=60.00
Last column: magnetic moment on the atom in μB.
Sites, in units of the cell vectors:
Mo1 0.500 0.500 0.500  3.00
Ba1 0.250 0.250 0.250  -0.06
Ba2 0.750 0.750 0.750  -0.06
Br1 0.000 0.000 0.000  0.03

Computed properties:
density of states at the Fermi level	5.49	states/eV per cell
VASP energy	-0.279	Ry per atom

=====

VASP calculation (PBE) on a geometry-optimized Ba2MoBr structure.

Unit cell a=6.593 b=6.593 c=5.647 alpha=89.95 beta=89.95 gamma=34.17
Last column: magnetic moment on the atom in μB.
Sites, in units of the cell vectors:
Mo1 0.263 0.263 0.124  2.53
Ba1 0.009 0.009 0.125  -0.04
Ba2 0.746 0.746 0.625  -0.04
Br1 0.483 0.483 0.626  0.01

Computed properties:
density of states at the Fermi level	4.41	states/eV per cell
VASP energy	-0.293	Ry per atom

=====

VASP calculation (PBE) on a geometry-optimized BaMoBr3 structure.

Unit cell a=6.251 b=6.251 c=6.251 alpha=90.00 beta=90.00 gamma=90.00
Last column: magnetic moment on the atom in μB.
Sites, in units of the cell vectors:
Mo1 0.500 0.500 0.500  4.15
Ba1 0.000 0.000 0.000  0.00
Br1 0.000 0.500 0.000  -0.01
Br2 0.000 0.000 0.500  -0.01
Br3 0.500 0.000 0.000  0.00

Computed properties:
density of states at the Fermi level	0.00	states/eV per cell
VASP energy	-0.280	Ry per atom

=====

VASP calculation (PBE) on a geometry-optimized BaMoBr2 structure.

Unit cell a=4.371 b=3.899 c=6.574 alpha=89.73 beta=90.00 gamma=90.00
Last column: magnetic moment on the atom in μB.
Sites, in units of the cell vectors:
Mo1 0.500 0.250 0.250  1.67
Ba1 0.500 0.750 0.750  -0.03
Br1 0.000 0.247 0.013  0.00
Br2 0.000 0.253 0.487  0.00

Computed properties:
density of states at the Fermi level	2.70	states/eV per cell
VASP energy	-0.310	Ry per atom

=====

VASP calculation (PBE) on a geometry-optimized BaMoBr2 structure.

Unit cell a=5.605 b=5.605 c=9.793 alpha=73.37 beta=73.37 gamma=90.00
Last column: magnetic moment on the atom in μB.
Sites, in units of the cell vectors:
Mo1 0.500 0.500 0.000  3.08
Mo2 0.250 0.750 0.500  3.09
Ba1 0.000 0.000 0.000  0.02
Ba2 0.750 0.250 0.500  0.02
Br1 0.553 0.125 0.250  0.03
Br2 0.197 0.625 0.250  0.03
Br3 0.375 0.447 0.750  0.03
Br4 0.875 0.803 0.750  0.03

Computed properties:
density of states at the Fermi level	3.11	states/eV per cell
VASP energy	-0.306	Ry per atom